(1)
Computed, not measured: a relaxed structure of CaHf at the PBE level of DFT.

```
CaHf
1.0
-5.537 -9.400 5.567
3.632 0.102 3.785
-4.034 4.596 3.748
Hf Ca
8 8
Cartesian
-5.041 -6.751 6.838
-1.538 1.760 3.247
-1.947 -2.422 3.752
-4.401 -6.462 9.852
-6.207 -0.774 7.797
-0.898 2.049 6.262
0.268 -3.928 5.303
-3.992 -2.280 9.348
-6.688 -4.254 8.352
-1.588 -1.479 7.019
-2.042 -5.122 7.553
0.749 -0.448 4.748
-6.343 -3.915 11.648
-4.351 -3.223 6.081
-3.896 0.420 5.547
0.404 -0.786 1.451
```

Properties
Total magnetic moment ... 0.00 μB/cell
ΔH_f (0 K) ... 0.453 eV/atom
Calculated total energy ... -5.524 eV/atom
Offset from the most stable computed form ... 0.14 eV/f.u.

---

(2)
Computed, not measured: a relaxed structure of LiTlSnSb at the PBE level of DFT.

```
LiTlSnSb
1.0
-1.749 -2.773 2.510
-0.171 -0.513 -4.093
8.585 -2.389 -0.088
Tl Sn Li Sb
1 1 1 1
Cartesian
3.968 -2.749 0.892
6.669 -4.364 0.968
1.460 -2.930 -1.056
0.537 -1.309 -3.301
```

Properties
Total magnetic moment ... 0.00 μB/cell
Calculated total energy ... -3.155 eV/atom
Offset from the most stable computed form ... 0.04 eV/f.u.
E_form (uncorrected) ... -0.054 eV/atom

---

(3)
Computed, not measured: a relaxed structure of TbPaAgRu at the PBE level of DFT.

```
TbPaAgRu
1.0
4.981 0.000 0.000
2.491 4.314 0.000
2.491 1.438 4.067
Pa Ru Ag Tb
1 1 1 1
Cartesian
2.491 1.438 1.017
4.981 2.876 2.034
0.000 0.000 0.000
7.472 4.314 3.050
```

Properties
Total magnetic moment ... 0.00 μB/cell
ΔH_f (0 K) ... -0.102 eV/atom
Calculated total energy ... -6.665 eV/atom